A geometry-optimized YPaSn2O8 structure, computed with GGA-PBE.

Calculated values
V in Å³ per cell: 362.0
M_tot in μB/atom: 0.0000
Total energy in eV for the cell shown: -186.15
Density of states at the Fermi level in states/eV/f.u.: 0.00

Lattice parameters (Å, degrees): 7.1968 7.1968 6.9892 90.00 90.00 90.00
With the nearest neighbours (Å) after each atom.
Space group I-4m2 (No. 119)
Symmetry-distinct sites (fractional):
Y  0.0000  0.0000  0.0000 x2  8 O 2.29-2.53
Pa  0.0000  0.5000  0.2500 x2  8 O 2.23-2.44
Sn  0.0000  0.0000  0.5000 x2  4 O 1.97
Sn  0.0000  0.5000  0.7500 x2  4 O 1.97
O  0.0000  0.1941  0.3021 x8  1 Sn 1.97
O  0.0000  0.3152  0.9578 x8  1 Sn 1.97